No. 1
Fe2CuP: relaxed, PBE-GGA.

Values from the calculation:
**E**: -26.36 eV per cell
**DOS at the Fermi energy**: 3.3 states/eV/cell
**ΔH_f (0 K)**: 0.1 eV per formula unit

Unit cell a=3.0576 b=3.0576 c=5.0502 alpha=90.00 beta=90.00 gamma=90.00
Fractional coordinates of all 4 atoms:
Fe 0.0000 0.0000 0.0000
Fe 0.5000 0.5000 0.2563
Cu 0.5000 0.5000 0.7519
P 0.0000 0.0000 0.4784



No. 2
Mg2ReCl2: relaxed, PBE-GGA.

Values from the calculation:
**E**: -35.57 eV per cell
**DOS at the Fermi energy**: 8.6 states/eV/cell
**Formation energy without anion corrections**: 0.31 eV/atom
**Distance to the lowest polymorph of the same formula**: 0.0 meV/atom

Unit cell a=4.2380 b=4.2380 c=11.9485 alpha=90.00 beta=90.00 gamma=90.00
Fractional coordinates of all 10 atoms:
Mg 0.0000 0.0000 0.1202
Mg 0.0000 0.0000 0.8798
Mg 0.5000 0.5000 0.3798
Mg 0.5000 0.5000 0.6202
Re 0.0000 0.0000 0.5000
Re 0.5000 0.5000 0.0000
Cl 0.0000 0.5000 0.2500
Cl 0.0000 0.5000 0.7500
Cl 0.5000 0.0000 0.2500
Cl 0.5000 0.0000 0.7500



No. 3
SrTc2Ag: relaxed, PBE-GGA.

Values from the calculation:
**E**: -86.78 eV per cell
**DOS at the Fermi energy**: 17.2 states/eV/cell
**ΔH_f (0 K)**: 3.6 eV per formula unit
**Distance to the lowest polymorph of the same formula**: 549.5 meV/atom

Unit cell a=4.4097 b=4.4097 c=20.2973 alpha=90.00 beta=90.00 gamma=90.00
Fractional coordinates of all 16 atoms:
Sr 0.0000 0.0000 0.0000
Sr 0.0000 0.5000 0.2500
Sr 0.5000 0.0000 0.7500
Sr 0.5000 0.5000 0.5000
Tc 0.0773 0.2500 0.6250
Tc 0.2500 0.5773 0.8750
Tc 0.2500 0.9227 0.3750
Tc 0.4227 0.2500 0.1250
Tc 0.5773 0.7500 0.1250
Tc 0.7500 0.0773 0.3750
Tc 0.7500 0.4227 0.8750
Tc 0.9227 0.7500 0.6250
Ag 0.0000 0.0000 0.5000
Ag 0.0000 0.5000 0.7500
Ag 0.5000 0.0000 0.2500
Ag 0.5000 0.5000 0.0000



No. 4
PrTl2AgCl6: relaxed, PBE-GGA.

Values from the calculation:
**E**: -75.09 eV per cell
**DOS at the Fermi energy**: 0.0 states/eV/cell
**Formation energy without anion corrections**: -1.41 eV/atom

Unit cell a=7.4586 b=7.8498 c=12.7932 alpha=90.00 beta=124.80 gamma=90.00
Fractional coordinates of all 20 atoms:
Pr 0.0000 0.0000 0.0000
Pr 0.0000 0.5000 0.5000
Tl 0.2757 0.0711 0.7530
Tl 0.2757 0.4289 0.2530
Tl 0.7243 0.5711 0.7470
Tl 0.7243 0.9289 0.2470
Ag 0.5000 0.0000 0.5000
Ag 0.5000 0.5000 0.0000
Cl 0.1528 0.0263 0.2543
Cl 0.1528 0.4737 0.7543
Cl 0.2424 0.7059 0.0507
Cl 0.2424 0.7941 0.5507
Cl 0.3507 0.1936 0.0492
Cl 0.3507 0.3064 0.5492
Cl 0.6493 0.6936 0.4508
Cl 0.6493 0.8064 0.9508
Cl 0.7576 0.2059 0.4493
Cl 0.7576 0.2941 0.9493
Cl 0.8472 0.5263 0.2457
Cl 0.8472 0.9737 0.7457



No. 5
PmSCl: relaxed, PBE-GGA.

Values from the calculation:
**E**: -67.70 eV per cell
**DOS at the Fermi energy**: 0.0 states/eV/cell
**Formation energy without anion corrections**: -2.07 eV/atom
**Distance to the lowest polymorph of the same formula**: 110.5 meV/atom

Unit cell a=6.7294 b=7.1747 c=6.5661 alpha=90.00 beta=97.23 gamma=90.00
Fractional coordinates of all 12 atoms:
Pm 0.2495 0.0557 0.2014
Pm 0.2495 0.4443 0.7014
Pm 0.7505 0.5557 0.2986
Pm 0.7505 0.9443 0.7986
S 0.1125 0.1021 0.7908
S 0.1125 0.3979 0.2908
S 0.8875 0.6021 0.7092
S 0.8875 0.8979 0.2092
Cl 0.4362 0.7290 0.9911
Cl 0.4362 0.7710 0.4911
Cl 0.5638 0.2290 0.5089
Cl 0.5638 0.2710 0.0089



No. 6
AsIrOs2: relaxed, PBE-GGA.

Values from the calculation:
**E**: -68.91 eV per cell
**DOS at the Fermi energy**: 4.9 states/eV/cell
**ΔH_f (0 K)**: 1.5 eV per formula unit

Unit cell a=9.1568 b=2.7976 c=4.8379 alpha=90.00 beta=107.57 gamma=90.00
Fractional coordinates of all 8 atoms:
As 0.0000 0.0000 0.0000
As 0.5000 0.5000 0.0000
Ir 0.0000 0.5000 0.5000
Ir 0.5000 0.0000 0.5000
Os 0.2331 0.5000 0.2562
Os 0.2669 0.0000 0.7438
Os 0.7331 0.0000 0.2562
Os 0.7669 0.5000 0.7438



No. 7
Mg2MoPt: relaxed, PBE-GGA.

Values from the calculation:
**E**: -20.35 eV per cell
**DOS at the Fermi energy**: 2.9 states/eV/cell
**ΔH_f (0 K)**: -0.3 eV per formula unit
**Distance to the lowest polymorph of the same formula**: 132.4 meV/atom

Unit cell a=2.8334 b=3.5789 c=6.5361 alpha=90.00 beta=90.00 gamma=90.00
Fractional coordinates of all 4 atoms:
Mg 0.0000 0.0000 0.2279
Mg 0.0000 0.0000 0.7721
Mo 0.5000 0.5000 0.5000
Pt 0.5000 0.5000 0.0000



No. 8
PrY4In2: relaxed, PBE-GGA.

Values from the calculation:
**E**: -74.55 eV per cell
**DOS at the Fermi energy**: 18.1 states/eV/cell
**ΔH_f (0 K)**: -1.2 eV per formula unit
**Distance to the lowest polymorph of the same formula**: 0.0 meV/atom

Unit cell a=6.5935 b=10.7644 c=6.8986 alpha=90.00 beta=115.63 gamma=90.00
Fractional coordinates of all 14 atoms:
Pr 0.0000 0.0000 0.0000
Pr 0.0000 0.5000 0.5000
Y 0.0018 0.1680 0.5001
Y 0.0018 0.3320 0.0001
Y 0.4978 0.7213 0.4994
Y 0.4978 0.7787 0.9994
Y 0.5022 0.2213 0.0006
Y 0.5022 0.2787 0.5006
Y 0.9982 0.6680 0.9999
Y 0.9982 0.8320 0.4999
In 0.4433 0.9996 0.6832
In 0.4433 0.5004 0.1832
In 0.5567 0.0004 0.3168
In 0.5567 0.4996 0.8168



No. 9
MoRuPt2: relaxed, PBE-GGA.

Values from the calculation:
**E**: -126.82 eV per cell
**DOS at the Fermi energy**: 16.0 states/eV/cell
**ΔH_f (0 K)**: 0.5 eV per formula unit
**Distance to the lowest polymorph of the same formula**: 312.5 meV/atom

Unit cell a=6.2789 b=6.2789 c=6.2789 alpha=90.00 beta=90.00 gamma=90.00
Fractional coordinates of all 16 atoms:
Mo 0.0000 0.0000 0.0000
Mo 0.0000 0.5000 0.5000
Mo 0.5000 0.0000 0.5000
Mo 0.5000 0.5000 0.0000
Ru 0.2500 0.2500 0.7500
Ru 0.2500 0.7500 0.2500
Ru 0.7500 0.2500 0.2500
Ru 0.7500 0.7500 0.7500
Pt 0.0000 0.0000 0.5000
Pt 0.0000 0.5000 0.0000
Pt 0.2500 0.2500 0.2500
Pt 0.2500 0.7500 0.7500
Pt 0.5000 0.0000 0.0000
Pt 0.5000 0.5000 0.5000
Pt 0.7500 0.2500 0.7500
Pt 0.7500 0.7500 0.2500



No. 10
GaCu2Cl6: relaxed, PBE-GGA.

Values from the calculation:
**E**: -57.23 eV per cell
**DOS at the Fermi energy**: 6.6 states/eV/cell
**Formation energy without anion corrections**: -0.70 eV/atom
**Distance to the lowest polymorph of the same formula**: 71.8 meV/atom

Unit cell a=6.0829 b=6.4948 c=11.6793 alpha=90.00 beta=114.30 gamma=90.00
Fractional coordinates of all 18 atoms:
Ga 0.0000 0.0000 0.0000
Ga 0.0000 0.5000 0.5000
Cu 0.3812 0.1115 0.8472
Cu 0.3812 0.3885 0.3472
Cu 0.6188 0.6115 0.6528
Cu 0.6188 0.8885 0.1528
Cl 0.0822 0.2361 0.3849
Cl 0.0822 0.2639 0.8849
Cl 0.2685 0.7090 0.4572
Cl 0.2685 0.7910 0.9572
Cl 0.3660 0.1021 0.1998
Cl 0.3660 0.3979 0.6998
Cl 0.6340 0.6021 0.3002
Cl 0.6340 0.8979 0.8002
Cl 0.7315 0.2090 0.0428
Cl 0.7315 0.2910 0.5428
Cl 0.9178 0.7361 0.1151
Cl 0.9178 0.7639 0.6151



No. 11
PuBe2SeO8: relaxed, PBE-GGA.

Values from the calculation:
**E**: -82.90 eV per cell
**DOS at the Fermi energy**: 11.8 states/eV/cell
**Formation energy without anion corrections**: -1.50 eV/atom

Unit cell a=4.6501 b=4.6501 c=6.3373 alpha=90.00 beta=90.00 gamma=120.00
Fractional coordinates of all 12 atoms:
Pu 0.0000 0.0000 0.0000
Be 0.3333 0.6667 0.7308
Be 0.6667 0.3333 0.2692
Se 0.0000 0.0000 0.5000
O 0.0228 0.3091 0.6811
O 0.2863 0.9772 0.6811
O 0.3091 0.2863 0.3189
O 0.3333 0.6667 0.9855
O 0.6667 0.3333 0.0145
O 0.6909 0.7137 0.6811
O 0.7137 0.0228 0.3189
O 0.9772 0.6909 0.3189



No. 12
InGeS2: relaxed, PBE-GGA.

Values from the calculation:
**E**: -49.35 eV per cell
**DOS at the Fermi energy**: 6.8 states/eV/cell
**Formation energy without anion corrections**: -0.21 eV/atom

Unit cell a=3.8120 b=3.8120 c=20.6257 alpha=90.00 beta=90.00 gamma=120.00
Fractional coordinates of all 12 atoms:
In 0.0000 0.0000 0.0000
In 0.3333 0.6667 0.6667
In 0.6667 0.3333 0.3333
Ge 0.0000 0.0000 0.1706
Ge 0.3333 0.6667 0.8373
Ge 0.6667 0.3333 0.5040
S 0.0000 0.0000 0.5816
S 0.0000 0.0000 0.7640
S 0.3333 0.6667 0.2483
S 0.3333 0.6667 0.4307
S 0.6667 0.3333 0.0973
S 0.6667 0.3333 0.9149



No. 13
La2InCl: relaxed, PBE-GGA.

Values from the calculation:
**E**: -33.29 eV per cell
**DOS at the Fermi energy**: 10.8 states/eV/cell
**Formation energy without anion corrections**: -0.55 eV/atom
**Distance to the lowest polymorph of the same formula**: 449.3 meV/atom

Unit cell a=4.0437 b=6.1382 c=10.9628 alpha=90.00 beta=90.00 gamma=90.00
Fractional coordinates of all 8 atoms:
La 0.0000 0.0000 0.0000
La 0.0000 0.5000 0.2660
La 0.5000 0.0000 0.2660
La 0.5000 0.5000 0.0000
In 0.0000 0.5000 0.7588
In 0.5000 0.0000 0.7588
Cl 0.0000 0.0000 0.4492
Cl 0.5000 0.5000 0.4492



No. 14
PbI2N2: relaxed, PBE-GGA.

Values from the calculation:
**E**: -15.85 eV per cell
**DOS at the Fermi energy**: 1.1 states/eV/cell
**Formation energy without anion corrections**: 1.52 eV/atom
**Distance to the lowest polymorph of the same formula**: 1912.2 meV/atom

Unit cell a=5.4628 b=5.4628 c=4.0998 alpha=90.00 beta=90.00 gamma=90.00
Fractional coordinates of all 5 atoms:
Pb 0.0000 0.0000 0.0000
I 0.0000 0.5000 0.5000
I 0.5000 0.0000 0.5000
N 0.5000 0.5000 0.0000
N 0.5000 0.5000 0.5000



No. 15
ThZr2S: relaxed, PBE-GGA.

Values from the calculation:
**E**: -93.55 eV per cell
**DOS at the Fermi energy**: 19.9 states/eV/cell
**Formation energy without anion corrections**: -0.63 eV/atom

Unit cell a=3.5150 b=3.5150 c=26.3962 alpha=90.00 beta=90.00 gamma=120.00
Fractional coordinates of all 12 atoms:
Th 0.0000 0.0000 0.0000
Th 0.3333 0.6667 0.6667
Th 0.6667 0.3333 0.3333
Zr 0.0000 0.0000 0.5599
Zr 0.0000 0.0000 0.7741
Zr 0.3333 0.6667 0.2266
Zr 0.3333 0.6667 0.4408
Zr 0.6667 0.3333 0.1075
Zr 0.6667 0.3333 0.8932
S 0.0000 0.0000 0.1675
S 0.3333 0.6667 0.8341
S 0.6667 0.3333 0.5008



No. 16
AcTmCdSb: relaxed, PBE-GGA.

Values from the calculation:
**E**: -62.04 eV per cell
**DOS at the Fermi energy**: 16.7 states/eV/cell
**Formation energy without anion corrections**: -0.47 eV/atom

Unit cell a=7.8281 b=7.8281 c=7.8281 alpha=90.00 beta=90.00 gamma=90.00
Fractional coordinates of all 16 atoms:
Ac 0.0000 0.0000 0.0000
Ac 0.0000 0.5000 0.5000
Ac 0.5000 0.0000 0.5000
Ac 0.5000 0.5000 0.0000
Tm 0.0000 0.0000 0.5000
Tm 0.0000 0.5000 0.0000
Tm 0.5000 0.0000 0.0000
Tm 0.5000 0.5000 0.5000
Cd 0.2500 0.2500 0.7500
Cd 0.2500 0.7500 0.2500
Cd 0.7500 0.2500 0.2500
Cd 0.7500 0.7500 0.7500
Sb 0.2500 0.2500 0.2500
Sb 0.2500 0.7500 0.7500
Sb 0.7500 0.2500 0.7500
Sb 0.7500 0.7500 0.2500



No. 17
Pm2Be4Pd3Pt: relaxed, PBE-GGA.

Values from the calculation:
**E**: -52.34 eV per cell
**DOS at the Fermi energy**: 8.8 states/eV/cell
**ΔH_f (0 K)**: -6.3 eV per formula unit

Unit cell a=4.0759 b=4.0759 c=9.6132 alpha=90.00 beta=90.00 gamma=90.00
Fractional coordinates of all 10 atoms:
Pm 0.0000 0.5000 0.2488
Pm 0.5000 0.0000 0.7512
Be 0.0000 0.0000 0.0000
Be 0.0000 0.5000 0.6220
Be 0.5000 0.0000 0.3780
Be 0.5000 0.5000 0.0000
Pd 0.0000 0.5000 0.8803
Pd 0.5000 0.0000 0.1197
Pd 0.5000 0.5000 0.5000
Pt 0.0000 0.0000 0.5000



No. 18
HfBeNb: relaxed, PBE-GGA.

Values from the calculation:
**E**: -47.19 eV per cell
**DOS at the Fermi energy**: 4.2 states/eV/cell
**ΔH_f (0 K)**: 0.2 eV per formula unit
**Distance to the lowest polymorph of the same formula**: 0.0 meV/atom

Unit cell a=3.3170 b=3.3170 c=8.9738 alpha=90.00 beta=90.00 gamma=90.00
Fractional coordinates of all 6 atoms:
Hf 0.0000 0.0000 0.0000
Hf 0.5000 0.5000 0.5000
Be 0.0000 0.0000 0.6710
Be 0.5000 0.5000 0.1710
Nb 0.0000 0.0000 0.3056
Nb 0.5000 0.5000 0.8056



No. 19
DyUB12: relaxed, PBE-GGA.

Values from the calculation:
**E**: -100.73 eV per cell
**DOS at the Fermi energy**: 8.1 states/eV/cell
**ΔH_f (0 K)**: -4.7 eV per formula unit

Unit cell a=4.0816 b=4.0816 c=8.1748 alpha=90.00 beta=90.00 gamma=90.00
Fractional coordinates of all 14 atoms:
Dy 0.0000 0.0000 0.0000
U 0.0000 0.0000 0.5000
B 0.1979 0.5000 0.2501
B 0.1979 0.5000 0.7499
B 0.5000 0.1979 0.2501
B 0.5000 0.1979 0.7499
B 0.5000 0.5000 0.0992
B 0.5000 0.5000 0.4012
B 0.5000 0.5000 0.5988
B 0.5000 0.5000 0.9008
B 0.5000 0.8021 0.2501
B 0.5000 0.8021 0.7499
B 0.8021 0.5000 0.2501
B 0.8021 0.5000 0.7499



No. 20
TiHgTeN2: relaxed, PBE-GGA.

Values from the calculation:
**E**: -18.59 eV per cell
**DOS at the Fermi energy**: 7.4 states/eV/cell
**Formation energy without anion corrections**: 1.88 eV/atom
**Distance to the lowest polymorph of the same formula**: 1513.4 meV/atom

Unit cell a=4.1241 b=4.1241 c=5.9739 alpha=90.00 beta=90.00 gamma=90.00
Fractional coordinates of all 5 atoms:
Ti 0.0000 0.0000 0.0000
Hg 0.5000 0.5000 0.5000
Te 0.5000 0.5000 0.0000
N 0.0000 0.5000 0.5000
N 0.5000 0.0000 0.5000



No. 21
Cs2Al2InSb4: relaxed, PBE-GGA.

Values from the calculation:
**E**: -30.64 eV per cell
**DOS at the Fermi energy**: 3.9 states/eV/cell
**Formation energy without anion corrections**: -0.25 eV/atom

Unit cell a=9.1257 b=9.1257 c=9.0598 alpha=106.74 beta=106.74 gamma=26.95
Fractional coordinates of all 9 atoms:
Cs 0.1301 0.1301 0.0345
Cs 0.8699 0.8699 0.9655
Al 0.3245 0.3245 0.5269
Al 0.6755 0.6755 0.4731
In 0.0000 0.0000 0.5000
Sb 0.2079 0.2079 0.6730
Sb 0.4778 0.4778 0.7105
Sb 0.5222 0.5222 0.2895
Sb 0.7921 0.7921 0.3270



No. 22
SrLi2MgPt: relaxed, PBE-GGA.

Values from the calculation:
**E**: -14.62 eV per cell
**DOS at the Fermi energy**: 2.7 states/eV/cell
**ΔH_f (0 K)**: -1.5 eV per formula unit

Unit cell a=4.9672 b=4.9672 c=5.0605 alpha=90.00 beta=90.00 gamma=90.00
Fractional coordinates of all 5 atoms:
Sr 0.0000 0.0000 0.0000
Li 0.0000 0.5000 0.5000
Li 0.5000 0.0000 0.5000
Mg 0.5000 0.5000 0.0000
Pt 0.5000 0.5000 0.5000



No. 23
Hf3TaTi: relaxed, PBE-GGA.

Values from the calculation:
**E**: -43.91 eV per cell
**DOS at the Fermi energy**: 5.2 states/eV/cell
**ΔH_f (0 K)**: 5.7 eV per formula unit
**Distance to the lowest polymorph of the same formula**: 0.0 meV/atom

Unit cell a=4.8217 b=4.8217 c=4.8217 alpha=90.00 beta=90.00 gamma=90.00
Fractional coordinates of all 5 atoms:
Hf 0.0000 0.0000 0.5000
Hf 0.0000 0.5000 0.0000
Hf 0.5000 0.0000 0.0000
Ta 0.5000 0.5000 0.5000
Ti 0.0000 0.0000 0.0000



No. 24
Tb5Er2Th2: relaxed, PBE-GGA.

Values from the calculation:
**E**: -89.78 eV per cell
**DOS at the Fermi energy**: 26.5 states/eV/cell
**ΔH_f (0 K)**: 2.2 eV per formula unit
**Distance to the lowest polymorph of the same formula**: 222.1 meV/atom

Unit cell a=10.0460 b=10.0460 c=10.0460 alpha=85.16 beta=107.53 gamma=141.56
Fractional coordinates of all 18 atoms:
Tb 0.2433 0.0539 0.2972
Tb 0.2433 0.4461 0.6894
Tb 0.4197 0.4428 0.4768
Tb 0.4642 0.0457 0.1326
Tb 0.4642 0.8316 0.9184
Tb 0.7567 0.5539 0.3106
Tb 0.7567 0.9461 0.7028
Tb 0.9132 0.3316 0.8674
Tb 0.9132 0.5457 0.0816
Tb 0.9660 0.9428 0.5232
Er 0.3308 0.4594 0.1206
Er 0.3308 0.7102 0.3714
Er 0.3388 0.2102 0.8794
Er 0.3388 0.9594 0.6286
Th 0.8036 0.3036 0.5000
Th 0.8036 0.8036 0.0000
Th 0.8583 0.6111 0.7472
Th 0.8640 0.1111 0.2528



No. 25
BaZnPt: relaxed, PBE-GGA.

Values from the calculation:
**E**: -41.56 eV per cell
**DOS at the Fermi energy**: 3.4 states/eV/cell
**ΔH_f (0 K)**: -1.2 eV per formula unit

Unit cell a=7.0865 b=7.0865 c=7.0865 alpha=90.00 beta=90.00 gamma=90.00
Fractional coordinates of all 12 atoms:
Ba 0.0000 0.0000 0.0000
Ba 0.0000 0.5000 0.5000
Ba 0.5000 0.0000 0.5000
Ba 0.5000 0.5000 0.0000
Zn 0.0000 0.0000 0.5000
Zn 0.0000 0.5000 0.0000
Zn 0.5000 0.0000 0.0000
Zn 0.5000 0.5000 0.5000
Pt 0.2500 0.2500 0.2500
Pt 0.2500 0.7500 0.7500
Pt 0.7500 0.2500 0.7500
Pt 0.7500 0.7500 0.2500